## a
The following is a PBE calculation of a relaxed structure of CeGaS3, from Alexandria.

Geometry as extended XYZ:
```
20
Lattice="6.5346 -5.5697 0.0000 6.5346 5.5697 0.0000 -2.0144 0.0000 6.7766" Properties=species:S:1:pos:R:3 pbc="T T T"
Ce 5.0238 4.4756 5.0825
Ce 6.0310 1.9486 1.6942
Ce 5.0238 -1.9486 5.0825
Ce 6.0310 -4.4756 1.6942
Ga 2.3222 1.0341 5.1012
Ga 3.3294 -1.0341 1.7129
Ga 7.7254 1.0341 5.0638
Ga 8.7326 -1.0341 1.6754
S 0.1446 1.1870 4.4173
S 2.9326 2.9868 6.0407
S 1.1518 -1.1870 1.0290
S 3.8679 0.4647 3.4382
S 7.1151 2.9868 4.1243
S 4.8751 -0.4647 0.0499
S 6.1797 0.4647 6.7268
S 3.9398 -2.9868 2.6524
S 7.1869 -0.4647 3.3385
S 9.9030 1.1870 5.7476
S 8.1222 -2.9868 0.7359
S 10.9102 -1.1870 2.3593
```

- Calculated volume: 493 Å³ per cell
- Total magnetic moment: 1.01 μB per formula unit
- Crystal system: monoclinic



## b
The following is a PBE calculation of a relaxed structure of CeGaS3, from Alexandria.

Geometry as extended XYZ:
```
10
Lattice="6.1902 -4.3907 0.0000 6.1902 4.3907 0.0000 -0.0597 0.0000 4.1994" Properties=species:S:1:pos:R:3 pbc="T T T"
Ce 2.8694 0.0000 1.0632
Ce 9.4512 0.0000 3.1362
Ga 6.1603 1.6495 2.0997
Ga 6.1603 -1.6495 2.0997
S 4.4265 2.6685 1.0532
S 7.8941 2.6685 3.1462
S 4.8796 0.0000 3.1670
S 7.4410 0.0000 1.0324
S 4.4265 -2.6685 1.0532
S 7.8941 -2.6685 3.1462
```

- Calculated volume: 228 Å³ per cell
- Total magnetic moment: 1.01 μB per formula unit
- Crystal system: monoclinic



Stability ranking, top and bottom: a is the most stable and b is the least stable.



## a
The following is a PBE calculation of a relaxed structure of Ce5Ga2Sb2, from Alexandria.

Geometry as extended XYZ:
```
18
Lattice="-8.9648 2.9555 4.4749 8.9648 -2.9555 4.4749 8.9648 2.9555 -4.4749" Properties=species:S:1:pos:R:3 pbc="T T T"
Ce 1.3199 0.7079 0.0000
Ce 7.6449 0.7079 0.0000
Ce 4.4824 2.4603 -1.8763
Ce 4.4824 0.4951 2.5986
Ce 3.1388 -0.3244 5.7504
Ce 5.8260 -0.3244 5.7504
Ce 3.1388 3.2799 1.2755
Ce 5.8260 3.2799 1.2755
Ce 1.3199 2.2476 4.4749
Ce 7.6449 2.2476 4.4749
Ga 0.0000 2.9555 1.7570
Ga 0.0000 0.0000 6.2319
Ga -4.4824 2.7818 4.1407
Ga 4.4824 3.1292 4.1407
Sb 10.4398 2.2907 -1.4529
Sb 7.4899 -0.6648 3.0220
Sb -1.4750 0.6648 3.0220
Sb 10.4398 0.6648 3.0220
```

- Calculated volume: 474 Å³ per cell
- Total magnetic moment: 2.90 μB per formula unit
- Crystal system: orthorhombic



## b
The following is a PBE calculation of a relaxed structure of Ce5Ga2Sb2, from Alexandria.

Geometry as extended XYZ:
```
18
Lattice="7.7772 -4.0693 0.0000 7.7772 4.0693 0.0000 0.0000 0.0000 8.1084" Properties=species:S:1:pos:R:3 pbc="T T T"
Ce 0.0000 0.0000 0.0000
Ce 5.7273 2.6138 5.4925
Ce 5.7273 1.4556 1.4383
Ce 9.8271 2.6138 5.4925
Ce 9.8271 1.4556 1.4383
Ce 7.7772 0.0000 4.0542
Ce 5.7273 -1.4556 6.6700
Ce 5.7273 -2.6138 2.6159
Ce 9.8271 -1.4556 6.6700
Ce 9.8271 -2.6138 2.6159
Ga 7.7772 3.1250 3.1104
Ga 7.7772 0.9443 7.1645
Ga 7.7772 -0.9443 0.9438
Ga 7.7772 -3.1250 4.9980
Sb 3.2552 0.0000 0.0000
Sb 4.5220 0.0000 4.0542
Sb 11.0324 0.0000 4.0542
Sb 12.2992 0.0000 0.0000
```

- Calculated volume: 513 Å³ per cell
- Total magnetic moment: 5.90 μB per formula unit
- Crystal system: orthorhombic



Stability ranking, top and bottom: b is the most stable and a is the least stable.



## a
The following is a PBE calculation of a relaxed structure of Ce2GaSb, from Alexandria.

Geometry as extended XYZ:
```
8
Lattice="2.2827 -11.8351 0.0000 2.2827 11.8351 0.0000 0.0000 0.0000 4.3117" Properties=species:S:1:pos:R:3 pbc="T T T"
Ce 2.2827 10.4727 3.2338
Ce 2.2827 4.2088 3.2338
Ce 2.2827 -4.2088 1.0779
Ce 2.2827 -10.4727 1.0779
Ga 2.2827 0.8776 3.2338
Ga 2.2827 -0.8776 1.0779
Sb 2.2827 7.3676 3.2338
Sb 2.2827 -7.3676 1.0779
```

- Calculated volume: 233 Å³ per cell
- Total magnetic moment: 1.73 μB per formula unit
- Crystal system: orthorhombic



## b
The following is a PBE calculation of a relaxed structure of Ce2GaSb, from Alexandria.

Geometry as extended XYZ:
```
4
Lattice="2.1491 1.2408 7.4880 -2.1491 1.2408 7.4880 0.0000 -2.4815 7.4880" Properties=species:S:1:pos:R:3 pbc="T T T"
Ce 0.0000 0.0000 5.5658
Ce 0.0000 0.0000 16.8982
Ga 0.0000 0.0000 11.2320
Sb 0.0000 0.0000 0.0000
```

- Calculated volume: 120 Å³ per cell
- Total magnetic moment: 1.41 μB per formula unit
- Crystal system: trigonal



## c
The following is a PBE calculation of a relaxed structure of Ce2GaSb, from Alexandria.

Geometry as extended XYZ:
```
4
Lattice="4.0446 0.0000 0.0000 0.0000 4.0446 0.0000 0.0000 0.0000 6.2654" Properties=species:S:1:pos:R:3 pbc="T T T"
Ce 0.0000 0.0000 1.4176
Ce 0.0000 0.0000 4.8478
Ga 2.0223 2.0223 0.0000
Sb 2.0223 2.0223 3.1327
```

- Calculated volume: 102 Å³ per cell
- Total magnetic moment: 2.03 μB per formula unit
- Crystal system: tetragonal



Stability ranking, top and bottom: a is the most stable and b is the least stable.



## a
The following is a PBE calculation of a relaxed structure of CeGaSb2, from Alexandria.

Geometry as extended XYZ:
```
4
Lattice="4.0815 0.0000 0.0000 0.0000 4.0815 0.0000 0.0000 0.0000 6.2199" Properties=species:S:1:pos:R:3 pbc="T T T"
Ce 0.0000 0.0000 0.0000
Ga 0.0000 0.0000 3.1100
Sb 2.0407 2.0407 1.5969
Sb 2.0407 2.0407 4.6230
```

- Calculated volume: 104 Å³ per cell
- Total magnetic moment: 0.58 μB per formula unit
- Crystal system: tetragonal



## b
The following is a PBE calculation of a relaxed structure of CeGaSb2, from Alexandria.

Geometry as extended XYZ:
```
4
Lattice="1.7908 1.0339 10.2032 -1.7908 1.0339 10.2032 0.0000 -2.0678 10.2032" Properties=species:S:1:pos:R:3 pbc="T T T"
Ce 0.0000 0.0000 0.0000
Ga 0.0000 0.0000 15.3048
Sb 0.0000 0.0000 3.1508
Sb 0.0000 0.0000 27.4588
```

- Calculated volume: 113 Å³ per cell
- Total magnetic moment: 1.20 μB per formula unit
- Crystal system: trigonal



## c
The following is a PBE calculation of a relaxed structure of CeGaSb2, from Alexandria.

Geometry as extended XYZ:
```
4
Lattice="4.7231 0.0000 0.0000 0.0000 4.7231 0.0000 0.0000 0.0000 4.4282" Properties=species:S:1:pos:R:3 pbc="T T T"
Ce 0.0000 0.0000 0.0000
Ga 2.3616 2.3616 0.0000
Sb 0.0000 2.3616 2.2141
Sb 2.3616 0.0000 2.2141
```

- Calculated volume: 99 Å³ per cell
- Total magnetic moment: 0.00 μB per formula unit
- Crystal system: tetragonal



Stability ranking, top and bottom: c is the most stable and b is the least stable.